(1)
13
Lattice="-3.416 3.449 4.857 3.416 -3.449 4.857 3.416 3.449 -4.857" Properties=species:S:1:pos:R:3 comment="FeRe2Mo2S8, optimized geometry, DFT GGA-PBE" sg="Imm2, No. 44" density_g_cm3=6.36 raw_formation_energy_ev_per_atom=-0.592 dos_at_fermi_per_ev_atom=0.499 pbc="T T T"
Fe 0.000 0.000 0.003
Re 1.414 0.000 3.847
Re 2.002 3.449 -1.011
Mo 3.416 2.034 0.990
Mo 0.000 1.415 5.847
S 0.000 1.838 3.536
S 3.416 1.611 -1.321
S 1.567 3.449 1.292
S 1.849 0.000 6.149
S 3.416 -1.548 3.560
S 3.416 1.548 3.560
S 5.000 0.000 1.345
S 1.831 0.000 1.345

(2)
5
Lattice="4.486 0.000 0.000 0.000 4.486 0.000 0.000 0.000 3.907" Properties=species:S:1:pos:R:3 comment="BeP2S2, optimized geometry, DFT GGA-PBE" sg="P4/mmm, No. 123" density_g_cm3=2.85 relative_energy_mev_per_atom=65 raw_formation_energy_ev_per_atom=0.788 dos_at_fermi_per_ev_atom=0.716 pbc="T T T"
P 0.000 2.243 0.000
P 2.243 0.000 0.000
S 2.243 2.243 1.953
S 0.000 0.000 1.953
Be 0.000 0.000 0.000

(3)
4
Lattice="-5.337 2.362 5.665 -1.767 0.478 7.925 -1.487 4.828 6.374" Properties=species:S:1:pos:R:3 comment="LaHgTe2, optimized geometry, DFT GGA-PBE" sg="R-3m, No. 166" density_g_cm3=6.93 raw_formation_energy_ev_per_atom=-0.851 dos_at_fermi_per_ev_atom=0.891 pbc="T T T"
Hg -6.443 5.752 14.973
La -2.148 1.917 4.991
Te -8.552 7.635 19.874
Te -4.334 3.869 10.072

(4)
10
Lattice="4.512 0.000 0.000 0.000 7.552 2.776 0.000 0.014 8.050" Properties=species:S:1:pos:R:3 comment="RbBSe3, optimized geometry, DFT GGA-PBE" sg="C222_1, No. 20" density_g_cm3=4.04 raw_formation_energy_ev_per_atom=-0.370 dos_at_fermi_per_ev_atom=0.240 pbc="T T T"
Rb 1.128 6.302 9.019
Rb 3.384 1.263 1.807
B 0.000 2.832 6.078
B 2.256 4.733 4.748
Se 1.129 3.049 4.366
Se 3.385 4.516 6.460
Se 1.000 6.228 5.392
Se 3.510 4.644 3.122
Se 3.256 1.337 5.434
Se 1.254 2.921 7.704

(5)
12
Lattice="-3.020 -1.375 4.034 -4.770 -2.053 -4.271 3.954 -8.978 -0.099" Properties=species:S:1:pos:R:3 comment="La3ErGa2, optimized geometry, DFT GGA-PBE" sg="Pmc2_1, No. 26" density_g_cm3=6.97 ef_ev_per_atom=-0.41 dos_at_fermi_per_ev_atom=1.115 pbc="T T T"
La 1.441 -9.500 -2.159
La -4.484 -2.490 -4.205
La -4.104 -3.688 -0.948
La 0.839 -8.472 1.123
La -0.149 -3.651 -1.356
La -1.236 -7.626 -3.524
Er -1.745 -6.740 -0.222
Er 0.187 -4.685 1.925
Ga -1.542 -9.759 -1.098
Ga -1.909 -2.481 1.107
Ga 1.146 -6.419 -1.329
Ga -2.403 -4.802 -3.436

(6)
6
Lattice="5.681 1.236 1.673 3.908 4.304 1.673 6.418 3.708 12.946" Properties=species:S:1:pos:R:3 comment="SrTbSc, optimized geometry, DFT GGA-PBE" sg="C2/m, No. 12" density_g_cm3=4.61 ef_ev_per_atom=0.32 relative_energy_mev_per_atom=124 dos_at_fermi_per_ev_atom=1.836 pbc="T T T"
Sr 11.097 6.411 11.918
Sr 4.516 2.609 7.528
Tb 10.570 6.106 6.187
Tb 8.214 4.745 3.656
Sc 7.483 4.323 6.764
Sc 8.130 4.697 12.681

Number 1: spin magnetization 4.0 μB/cell, calculated volume 17.61 Å³/atom, DFT total energy -7.365 eV/atom. Number 2: spin magnetization 0.0 μB/cell, calculated volume 15.73 Å³/atom, DFT total energy -3.773 eV/atom. Number 3: spin magnetization 0.0 μB/cell, calculated volume 35.60 Å³/atom, DFT total energy -3.730 eV/atom. Number 4: spin magnetization 0.0 μB/cell, calculated volume 27.41 Å³/atom, DFT total energy -3.990 eV/atom. Number 5: spin magnetization 0.0 μB/cell, calculated volume 28.71 Å³/atom, DFT total energy -4.642 eV/atom. Number 6: spin magnetization 0.0 μB/cell, calculated volume 35.01 Å³/atom, DFT total energy -3.896 eV/atom.